Compound: Ti5MnGe5
Source: the Alexandria database
Functional: PBE
Structure: optimized geometry

Output
Total magnetization (μB/cell): 3.3
Energy of formation from the pure elements (eV per atom): -0.1636
SG: C2/m

```
data_Ti5MnGe5
_chemical_formula_sum 'Ti5 Mn1 Ge5'
_symmetry_space_group_name_H-M 'P 1'
_symmetry_Int_Tables_number 1
_cell_length_a 5.5803
_cell_length_b 5.5803
_cell_length_c 8.4540
_cell_angle_alpha 112.98
_cell_angle_beta 112.98
_cell_angle_gamma 54.92
loop_
_symmetry_equiv_pos_as_xyz
'x,y,z'
loop_
_atom_site_label
_atom_site_type_symbol
_atom_site_fract_x
_atom_site_fract_y
_atom_site_fract_z
_atom_site_occupancy
Ti1 Ti 0.0000 0.0000 0.0000 1
Ti2 Ti 0.3320 0.3320 0.1528 1
Ti3 Ti 0.3357 0.3357 0.6812 1
Ti4 Ti 0.6643 0.6643 0.3188 1
Ti5 Ti 0.6680 0.6680 0.8472 1
Mn1 Mn 0.0000 0.0000 0.5000 1
Ge1 Ge 0.1560 0.1560 0.8251 1
Ge2 Ge 0.1694 0.1694 0.3382 1
Ge3 Ge 0.5000 0.5000 0.5000 1
Ge4 Ge 0.8306 0.8306 0.6618 1
Ge5 Ge 0.8440 0.8440 0.1749 1
```